Entry 1:
# GGA-PBE NdPuSe2, optimized geometry
data_NdPuSe2
_cell_length_a 4.0599
_cell_length_b 4.0599
_cell_length_c 22.0860
_cell_angle_alpha 90.00
_cell_angle_beta 90.00
_cell_angle_gamma 120.00
_symmetry_space_group_name_H-M 'R 3 m'
_symmetry_Int_Tables_number 160
_symmetry_space_group_name_Hall 'R 3 -2"'
loop_
_atom_site_label
_atom_site_fract_x
_atom_site_fract_y
_atom_site_fract_z
Nd1 0.0000 0.0000 0.0000
Pu1 0.0000 0.0000 0.1740
Se1 0.0000 0.0000 0.5833
Se2 0.0000 0.0000 0.7566
# - DFT total energy (eV/cell) = -97.7
# - energy relative to the lowest polymorph listed for this composition (meV per atom) = 80
# - uncorrected formation energy (meV/atom) = -1622.6

Entry 2:
# GGA-PBE SrIr, optimized geometry
data_SrIr
_cell_length_a 3.4397
_cell_length_b 3.4397
_cell_length_c 13.6987
_cell_angle_alpha 90.00
_cell_angle_beta 90.00
_cell_angle_gamma 120.00
_symmetry_space_group_name_H-M 'R -3 m'
_symmetry_Int_Tables_number 166
_symmetry_space_group_name_Hall '-R 3 2"'
loop_
_atom_site_label
_atom_site_fract_x
_atom_site_fract_y
_atom_site_fract_z
Sr1 0.0000 0.0000 0.0000
Ir1 0.0000 0.0000 0.5000
# - DFT total energy (eV/cell) = -28.6
# - ΔE_f (meV per atom) = 509

Entry 3:
# GGA-PBE BeVOs, optimized geometry
data_BeVOs
_cell_length_a 2.6678
_cell_length_b 2.6678
_cell_length_c 37.4259
_cell_angle_alpha 90.00
_cell_angle_beta 90.00
_cell_angle_gamma 120.00
_symmetry_space_group_name_H-M 'R -3 m'
_symmetry_Int_Tables_number 166
_symmetry_space_group_name_Hall '-R 3 2"'
loop_
_atom_site_label
_atom_site_fract_x
_atom_site_fract_y
_atom_site_fract_z
Be1 0.0000 0.0000 0.0808
V1 0.0000 0.0000 0.1974
Os1 0.0000 0.0000 0.3628
# - DFT total energy (eV/cell) = -140.5
# - energy relative to the lowest polymorph listed for this composition (meV per atom) = 583
# - ΔE_f (meV per atom) = 221